# 1
Compound: WAu
Source: the Alexandria database
Functional: meta-GGA SCAN
Structure: PBEsol geometry

```
WAu
1.0
2.685 0.000 -0.017
0.000 4.371 0.000
-0.892 0.000 5.520
W Au
2 2
Direct
0.133 0.750 0.373
0.867 0.250 0.627
0.422 0.750 0.865
0.578 0.250 0.135
```

Values from the calculation:
Symmetry ... P2_1/m (11)
Energy above the lowest structure with this stoichiometry ... 0.0 meV/atom
Calculated density ... 19.55 g/cm³
DFT formation energy ... 0.34 eV per atom

# 2
Compound: ZnRuBr2
Source: the Alexandria database
Functional: meta-GGA SCAN
Structure: PBEsol geometry

```
ZnRuBr2
1.0
3.662 0.000 0.000
0.000 3.662 0.000
-1.831 -1.831 5.969
Br Zn Ru
2 1 1
Direct
0.000 0.000 0.000
0.750 0.250 0.500
0.250 0.750 0.500
0.500 0.500 0.000
```

Values from the calculation:
Symmetry ... I-4m2 (119)
E_form (uncorrected) ... 624.1 meV per atom
Energy above the lowest structure with this stoichiometry ... 634.9 meV/atom
Calculated density ... 6.77 g/cm³

# 3
Compound: TiTc2W
Source: the Alexandria database
Functional: meta-GGA SCAN
Structure: PBEsol geometry

```
TiTc2W
1.0
-4.178 -0.815 -0.928
-1.096 -3.681 -2.056
-2.134 -3.138 2.140
Tc W Ti
2 1 1
Direct
0.750 0.750 0.750
0.250 0.250 0.250
0.500 0.500 0.500
0.000 0.000 0.000
```

Values from the calculation:
Symmetry ... Fm-3m (225)
Calculated density ... 12.15 g/cm³
DFT formation energy ... -0.50 eV per atom

# 4
Compound: MgSi2Ag
Source: the Alexandria database
Functional: meta-GGA SCAN
Structure: PBEsol geometry

```
MgSi2Ag
1.0
-2.208 -0.050 1.825
-2.754 -0.361 -3.342
0.350 -5.257 0.279
Si Ag Mg
2 1 1
Direct
0.500 0.000 0.762
0.500 0.000 0.238
0.500 0.500 0.500
0.000 0.500 0.000
```

Values from the calculation:
Symmetry ... Pmmm (47)
E_form (uncorrected) ... 199.2 meV per atom
Calculated density ... 4.76 g/cm³

# 5
Compound: Na6Mn2B4PO16
Source: the Alexandria database
Functional: meta-GGA SCAN
Structure: PBEsol geometry

```
Na6Mn2B4PO16
1.0
9.706 0.000 0.000
4.853 8.406 0.000
4.853 2.802 7.925
O P Na B Mn
32 2 12 8 4
Direct
0.946 0.036 0.259
0.758 0.946 0.259
0.214 0.492 0.991
0.991 0.492 0.304
0.214 0.991 0.304
0.946 0.685 0.685
0.036 0.259 0.946
0.304 0.991 0.492
0.214 0.304 0.492
0.758 0.036 0.946
0.304 0.214 0.991
0.946 0.259 0.758
0.758 0.259 0.036
0.259 0.946 0.036
0.492 0.991 0.214
0.685 0.685 0.946
0.565 0.565 0.565
0.565 0.565 0.304
0.259 0.758 0.946
0.492 0.304 0.991
0.991 0.304 0.214
0.991 0.214 0.492
0.259 0.036 0.758
0.685 0.685 0.685
0.946 0.758 0.036
0.304 0.565 0.565
0.036 0.758 0.259
0.036 0.946 0.758
0.492 0.214 0.304
0.304 0.492 0.214
0.565 0.304 0.565
0.685 0.946 0.685
0.500 0.500 0.500
0.750 0.750 0.750
0.714 0.286 0.286
0.714 0.714 0.286
0.964 0.536 0.964
0.964 0.964 0.536
0.536 0.964 0.964
0.714 0.286 0.714
0.286 0.714 0.714
0.286 0.714 0.286
0.536 0.536 0.964
0.286 0.286 0.714
0.964 0.536 0.536
0.536 0.964 0.536
0.334 0.334 0.334
0.334 0.997 0.334
0.916 0.916 0.253
0.334 0.334 0.997
0.253 0.916 0.916
0.916 0.916 0.916
0.916 0.253 0.916
0.997 0.334 0.334
0.625 0.125 0.125
0.125 0.125 0.125
0.125 0.625 0.125
0.125 0.125 0.625
```

Values from the calculation:
Symmetry ... Fd-3 (203)
E_form (uncorrected) ... -2307.5 meV per atom
Calculated density ... 2.97 g/cm³

# 6
Compound: Ta2NiPt
Source: the Alexandria database
Functional: meta-GGA SCAN
Structure: PBEsol geometry

```
Ta2NiPt
1.0
3.222 0.000 0.000
0.000 3.222 0.000
0.000 0.000 5.886
Ni Ta Pt
1 2 1
Direct
0.000 0.000 0.491
0.500 0.500 0.285
0.000 0.000 0.982
0.500 0.500 0.742
```

Values from the calculation:
Symmetry ... P4mm (99)
Calculated density ... 16.73 g/cm³
DFT formation energy ... -0.50 eV per atom

# 7
Compound: CuOsCl2
Source: the Alexandria database
Functional: meta-GGA SCAN
Structure: PBEsol geometry

```
CuOsCl2
1.0
2.974 0.000 0.000
1.487 2.576 0.000
1.487 0.859 7.552
Os Cl Cu
1 2 1
Direct
0.000 0.000 0.000
0.754 0.754 0.737
0.246 0.246 0.263
0.500 0.500 0.500
```

Values from the calculation:
Symmetry ... R-3m (166)
E_form (uncorrected) ... 817.1 meV per atom
Calculated density ... 9.32 g/cm³

# 8
Compound: Li3Ni3TeO8
Source: the Alexandria database
Functional: meta-GGA SCAN
Structure: PBEsol geometry

```
Li3Ni3TeO8
1.0
-3.233 -3.640 3.350
-4.387 -3.131 -2.423
0.548 -5.860 -0.625
Li O Ni Te
3 8 3 1
Direct
0.000 0.500 0.500
0.500 0.000 0.500
0.000 0.000 0.500
0.763 0.232 0.772
0.232 0.763 0.772
0.733 0.733 0.800
0.768 0.237 0.228
0.267 0.267 0.200
0.232 0.232 0.772
0.237 0.768 0.228
0.768 0.768 0.228
0.500 0.000 0.000
0.000 0.500 0.000
0.500 0.500 0.000
0.000 0.000 0.000
```

Values from the calculation:
Symmetry ... R-3m (166)
E_form (uncorrected) ... -1578.2 meV per atom
Calculated density ... 5.14 g/cm³

# 9
Compound: CaMg3C
Source: the Alexandria database
Functional: meta-GGA SCAN
Structure: PBEsol geometry

```
CaMg3C
1.0
-5.348 -2.144 -2.332
2.137 -5.820 0.451
-2.339 -0.414 5.744
Ca Mg C
1 3 1
Direct
0.000 0.000 0.000
0.000 0.000 0.500
0.500 0.000 0.000
0.000 0.500 0.000
0.500 0.500 0.500
```

Values from the calculation:
Symmetry ... Pm-3m (221)
Energy above the lowest structure with this stoichiometry ... 1865.9 meV/atom
Calculated density ... 0.86 g/cm³
DFT formation energy ... 2.21 eV per atom

# 10
Compound: Tl2CrCo
Source: the Alexandria database
Functional: meta-GGA SCAN
Structure: PBEsol geometry

```
Tl2CrCo
1.0
-1.457 -3.265 -0.591
3.645 -1.268 -1.978
1.575 -1.389 3.794
Tl Co Cr
2 1 1
Direct
0.000 0.500 0.000
0.000 0.000 0.500
0.500 0.500 0.500
0.500 0.000 0.000
```

Values from the calculation:
Symmetry ... P4/mmm (123)
Energy above the lowest structure with this stoichiometry ... 84.8 meV/atom
Calculated density ... 12.67 g/cm³
DFT formation energy ... 0.57 eV per atom

# 11
Compound: Li2CaP
Source: the Alexandria database
Functional: meta-GGA SCAN
Structure: PBEsol geometry

```
Li2CaP
1.0
-3.101 1.293 2.216
-4.513 -2.345 -4.949
-0.460 -9.717 5.024
Ca Li P
4 8 4
Direct
0.750 0.740 0.809
0.250 0.260 0.191
0.250 0.760 0.309
0.750 0.240 0.691
0.750 0.407 0.389
0.250 0.593 0.611
0.750 0.907 0.111
0.250 0.124 0.466
0.250 0.093 0.889
0.750 0.376 0.966
0.750 0.876 0.534
0.250 0.624 0.034
0.750 0.057 0.333
0.750 0.557 0.167
0.250 0.443 0.833
0.250 0.943 0.667
```

Values from the calculation:
Symmetry ... Pnma (62)
Calculated density ... 1.80 g/cm³
DFT formation energy ... -0.81 eV per atom

# 12
Compound: CaYSb2Te
Source: the Alexandria database
Functional: meta-GGA SCAN
Structure: PBEsol geometry

```
CaYSb2Te
1.0
5.673 0.000 0.000
0.000 5.673 0.000
0.000 0.000 5.713
Sb Te Ca Y
2 1 1 1
Direct
0.000 0.500 0.000
0.500 0.000 0.000
0.000 0.000 0.500
0.500 0.500 0.500
0.000 0.000 0.000
```

Values from the calculation:
Symmetry ... P4/mmm (123)
E_form (uncorrected) ... -351.0 meV per atom
Calculated density ... 4.52 g/cm³

Which value of calculated density does entry 1 give?
19.55 g/cm³